1.
An optimized crystal structure of UC2O8F. Source: the Alexandria database, functional PBE-GGA.

Cell lengths 5.232, 5.232, 7.367 Å; angles 106.85, 106.85, 61.71 degrees
Fractional coordinates of all 12 atoms:
U  0.000  0.000  0.000
C  0.279  0.279  0.774
C  0.721  0.721  0.226
O  0.163  0.586  0.821
O  0.173  0.173  0.873
O  0.209  0.209  0.575
O  0.414  0.837  0.179
O  0.586  0.163  0.821
O  0.791  0.791  0.425
O  0.827  0.827  0.127
O  0.837  0.414  0.179
F  0.000  0.000  0.500

Properties
Formation energy without anion corrections in eV per atom: -1.303
Spin magnetization in μB per formula unit: 1.0
SG: No. 12

---

2.
An optimized crystal structure of ErTiTe2. Source: the Alexandria database, functional PBE-GGA.

Cell lengths 9.760, 9.760, 9.760 Å; angles 22.40, 22.40, 22.40 degrees
Fractional coordinates of all 4 atoms:
Er  0.000  0.000  0.000
Ti  0.500  0.500  0.500
Te  0.106  0.106  0.106
Te  0.894  0.894  0.894

Properties
Formation energy without anion corrections in eV per atom: -0.503
Spin magnetization in μB per formula unit: 0.5
SG: No. 166

---

3.
An optimized crystal structure of VNiS2N. Source: the Alexandria database, functional PBE-GGA.

Cell lengths 4.579, 4.579, 3.385 Å; angles 90.00, 90.00, 90.00 degrees
Fractional coordinates of all 5 atoms:
V  0.000  0.000  0.000
Ni  0.500  0.500  0.500
S  0.000  0.500  0.500
S  0.500  0.000  0.500
N  0.500  0.500  0.000

Properties
Formation energy without anion corrections in eV per atom: 0.680
Spin magnetization in μB per formula unit: 0.0
SG: No. 123

---

4.
An optimized crystal structure of TeMo2Br. Source: the Alexandria database, functional PBE-GGA.

Cell lengths 3.099, 4.444, 5.946 Å; angles 90.00, 90.00, 90.00 degrees
Fractional coordinates of all 4 atoms:
Te  0.000  0.000  0.000
Mo  0.000  0.500  0.500
Mo  0.500  0.500  0.000
Br  0.500  0.000  0.500

Properties
Formation energy without anion corrections in eV per atom: 0.981
Spin magnetization in μB per formula unit: 2.0
SG: No. 47

---

5.
An optimized crystal structure of Ba5Br3. Source: the Alexandria database, functional PBE-GGA.

Cell lengths 9.543, 9.543, 4.570 Å; angles 90.00, 90.00, 106.74 degrees
Fractional coordinates of all 8 atoms:
Ba  0.000  0.000  0.000
Ba  0.000  0.500  0.000
Ba  0.308  0.308  0.500
Ba  0.500  0.000  0.000
Ba  0.692  0.692  0.500
Br  0.295  0.705  0.500
Br  0.500  0.500  0.000
Br  0.705  0.295  0.500

Properties
Formation energy without anion corrections in eV per atom: -0.986
Spin magnetization in μB per formula unit: 0.0
SG: No. 65

---

6.
An optimized crystal structure of Ca2TaCd. Source: the Alexandria database, functional PBE-GGA.

Cell lengths 5.274, 5.274, 5.274 Å; angles 60.00, 60.00, 60.00 degrees
Fractional coordinates of all 4 atoms:
Ca  0.000  0.000  0.000
Ca  0.250  0.250  0.250
Ta  0.750  0.750  0.750
Cd  0.500  0.500  0.500

Properties
Formation energy in eV per atom: 0.623
Spin magnetization in μB per formula unit: 2.6
SG: No. 216

---

7.
An optimized crystal structure of CaTcCl2. Source: the Alexandria database, functional PBE-GGA.

Cell lengths 6.678, 6.678, 6.678 Å; angles 148.89, 138.07, 53.12 degrees
Fractional coordinates of all 4 atoms:
Ca  0.000  0.000  0.000
Tc  0.500  0.500  0.000
Cl  0.359  0.859  0.500
Cl  0.641  0.141  0.500

Properties
Formation energy without anion corrections in eV per atom: -0.547
Spin magnetization in μB per formula unit: 1.0
SG: No. 71

---

8.
An optimized crystal structure of BaTc2Te. Source: the Alexandria database, functional PBE-GGA.

Cell lengths 3.327, 3.327, 8.402 Å; angles 90.00, 90.00, 90.00 degrees
Fractional coordinates of all 4 atoms:
Ba  0.000  0.000  0.000
Tc  0.000  0.000  0.440
Tc  0.500  0.500  0.298
Te  0.500  0.500  0.655

Properties
Formation energy without anion corrections in eV per atom: 0.311
Spin magnetization in μB per formula unit: 0.0
SG: No. 99

---

9.
An optimized crystal structure of ZnB2TeN. Source: the Alexandria database, functional PBE-GGA.

Cell lengths 3.550, 3.550, 8.782 Å; angles 90.00, 90.00, 90.00 degrees
Fractional coordinates of all 5 atoms:
Zn  0.000  0.000  0.000
B  0.000  0.500  0.500
B  0.500  0.000  0.500
Te  0.500  0.500  0.000
N  0.500  0.500  0.500

Properties
Formation energy without anion corrections in eV per atom: 1.565
Spin magnetization in μB per formula unit: 0.0
SG: No. 123

---

10.
An optimized crystal structure of TiIr3O. Source: the Alexandria database, functional PBE-GGA.

Cell lengths 4.141, 4.141, 4.141 Å; angles 90.00, 90.00, 90.00 degrees
Fractional coordinates of all 5 atoms:
Ti  0.000  0.000  0.000
Ir  0.000  0.500  0.500
Ir  0.500  0.000  0.500
Ir  0.500  0.500  0.000
O  0.500  0.500  0.500

Properties
Formation energy without anion corrections in eV per atom: 0.329
Spin magnetization in μB per formula unit: 0.0
SG: No. 221

---

11.
An optimized crystal structure of Mg2Ag8Ge. Source: the Alexandria database, functional PBE-GGA.

Cell lengths 6.989, 6.989, 4.965 Å; angles 103.42, 103.42, 81.73 degrees
Fractional coordinates of all 11 atoms:
Mg  0.155  0.155  0.034
Mg  0.845  0.845  0.966
Ag  0.159  0.672  0.694
Ag  0.272  0.272  0.604
Ag  0.328  0.841  0.306
Ag  0.427  0.427  0.201
Ag  0.573  0.573  0.799
Ag  0.672  0.159  0.694
Ag  0.728  0.728  0.396
Ag  0.841  0.328  0.306
Ge  0.000  0.000  0.500

Properties
Formation energy in eV per atom: 0.118
Spin magnetization in μB per formula unit: 0.0
SG: No. 12

---

12.
An optimized crystal structure of MgPd2N2. Source: the Alexandria database, functional PBE-GGA.

Cell lengths 6.176, 6.176, 3.170 Å; angles 90.00, 90.00, 90.00 degrees
Fractional coordinates of all 10 atoms:
Mg  0.000  0.000  0.000
Mg  0.500  0.500  0.000
Pd  0.165  0.335  0.500
Pd  0.335  0.835  0.500
Pd  0.665  0.165  0.500
Pd  0.835  0.665  0.500
N  0.180  0.680  0.000
N  0.320  0.180  0.000
N  0.680  0.820  0.000
N  0.820  0.320  0.000

Properties
Formation energy without anion corrections in eV per atom: 0.592
Spin magnetization in μB per formula unit: 0.0
SG: No. 127

---

13.
An optimized crystal structure of TaF2. Source: the Alexandria database, functional PBE-GGA.

Cell lengths 3.238, 5.139, 5.373 Å; angles 72.40, 73.40, 73.79 degrees
Fractional coordinates of all 6 atoms:
Ta  0.000  0.000  0.000
Ta  0.450  0.660  0.355
F  0.104  0.308  0.602
F  0.233  0.730  0.760
F  0.729  0.379  0.126
F  0.789  0.929  0.430

Properties
Formation energy without anion corrections in eV per atom: -2.069
Spin magnetization in μB per formula unit: 0.0
SG: No. 1

---

14.
An optimized crystal structure of Y5Co4Ge10. Source: the Alexandria database, functional PBE-GGA.

Cell lengths 12.776, 12.776, 4.205 Å; angles 90.00, 90.00, 90.00 degrees
Fractional coordinates of all 38 atoms:
Y  0.000  0.000  0.000
Y  0.110  0.390  0.500
Y  0.178  0.678  0.500
Y  0.322  0.178  0.500
Y  0.390  0.890  0.500
Y  0.500  0.500  0.000
Y  0.610  0.110  0.500
Y  0.678  0.822  0.500
Y  0.822  0.322  0.500
Y  0.890  0.610  0.500
Co  0.026  0.756  0.000
Co  0.244  0.026  0.000
Co  0.256  0.526  0.000
Co  0.474  0.256  0.000
Co  0.526  0.744  0.000
Co  0.744  0.474  0.000
Co  0.756  0.974  0.000
Co  0.974  0.244  0.000
Ge  0.003  0.833  0.500
Ge  0.070  0.570  0.000
Ge  0.154  0.199  0.000
Ge  0.167  0.003  0.500
Ge  0.199  0.846  0.000
Ge  0.301  0.346  0.000
Ge  0.333  0.503  0.500
Ge  0.346  0.699  0.000
Ge  0.430  0.070  0.000
Ge  0.497  0.333  0.500
Ge  0.503  0.667  0.500
Ge  0.570  0.930  0.000
Ge  0.654  0.301  0.000
Ge  0.667  0.497  0.500
Ge  0.699  0.654  0.000
Ge  0.801  0.154  0.000
Ge  0.833  0.997  0.500
Ge  0.846  0.801  0.000
Ge  0.930  0.430  0.000
Ge  0.997  0.167  0.500

Properties
Formation energy in eV per atom: -0.668
Spin magnetization in μB per formula unit: 0.0
SG: No. 127

---

15.
An optimized crystal structure of LiMg3In3Rh2. Source: the Alexandria database, functional PBE-GGA.

Cell lengths 7.842, 7.842, 3.127 Å; angles 90.00, 90.00, 120.00 degrees
Fractional coordinates of all 9 atoms:
Li  0.000  0.000  0.000
Mg  0.000  0.385  0.000
Mg  0.385  0.000  0.000
Mg  0.615  0.615  0.000
In  0.000  0.705  0.500
In  0.295  0.295  0.500
In  0.705  0.000  0.500
Rh  0.333  0.667  0.500
Rh  0.667  0.333  0.500

Properties
Formation energy in eV per atom: -0.301
Spin magnetization in μB per formula unit: 0.0
SG: No. 189

---

16.
An optimized crystal structure of Zr2Pd9Au. Source: the Alexandria database, functional PBE-GGA.

Cell lengths 4.028, 4.028, 12.079 Å; angles 90.00, 90.00, 90.00 degrees
Fractional coordinates of all 12 atoms:
Zr  0.000  0.000  0.171
Zr  0.000  0.000  0.829
Pd  0.000  0.500  0.000
Pd  0.000  0.500  0.329
Pd  0.000  0.500  0.671
Pd  0.500  0.000  0.000
Pd  0.500  0.000  0.329
Pd  0.500  0.000  0.671
Pd  0.500  0.500  0.164
Pd  0.500  0.500  0.500
Pd  0.500  0.500  0.836
Au  0.000  0.000  0.500

Properties
Formation energy in eV per atom: -0.587
Spin magnetization in μB per formula unit: 0.0
SG: No. 123